1.
Entry from the Alexandria database: crystalline Mn2Se3S at its relaxed geometry (PBE).

Output
raw formation energy: -0.489 eV per atom
size of the total moment: 11.350 μB per cell

Lattice parameters (Å, degrees): 6.634 6.882 6.882 120.00 90.00 90.00
Each line ends with the local moment (μB).
Fractional positions:
Mn 0.000 0.000 0.000  2.88
Mn 0.000 0.500 0.000  2.90
Mn 0.000 0.000 0.500  2.90
Mn 0.000 0.500 0.500  2.90
Se 0.778 0.166 0.834  -0.08
Se 0.778 0.668 0.834  -0.08
Se 0.778 0.166 0.332  -0.08
Se 0.222 0.834 0.668  -0.08
Se 0.222 0.834 0.166  -0.08
Se 0.222 0.332 0.166  -0.08
S 0.186 0.333 0.667  -0.05
S 0.814 0.667 0.333  -0.05

2.
Entry from the Alexandria database: crystalline MnSe2S2 at its relaxed geometry (PBE).

Output
raw formation energy: -0.123 eV per atom
size of the total moment: 3.514 μB per cell

Lattice parameters (Å, degrees): 3.709 3.709 9.258 93.43 93.43 54.10
Each line ends with the local moment (μB).
Fractional positions:
Mn 0.000 0.000 0.000  3.36
Se 0.397 0.397 0.592  0.04
Se 0.603 0.603 0.408  0.04
S 0.352 0.352 0.136  -0.07
S 0.648 0.648 0.864  -0.07

3.
Entry from the Alexandria database: crystalline Mn4Se2S3 at its relaxed geometry (PBE).

Output
raw formation energy: -0.486 eV per atom
size of the total moment: 16.701 μB per cell

Lattice parameters (Å, degrees): 3.558 6.221 8.169 74.56 77.42 73.38
Each line ends with the local moment (μB).
Fractional positions:
Mn 0.799 0.107 0.296  3.78
Mn 0.201 0.893 0.704  3.78
Mn 0.397 0.305 0.901  3.97
Mn 0.603 0.695 0.099  3.97
Se 0.600 0.195 0.605  -0.04
Se 0.400 0.805 0.395  -0.04
S 0.000 0.000 0.000  0.07
S 0.209 0.392 0.190  0.04
S 0.791 0.608 0.810  0.04

4.
Entry from the Alexandria database: crystalline Mn3SeS3 at its relaxed geometry (PBE).

Output
raw formation energy: -0.508 eV per atom
size of the total moment: 48.590 μB per cell

Lattice parameters (Å, degrees): 8.709 8.709 8.709 109.47 109.47 109.47
Each line ends with the local moment (μB).
Fractional positions:
Mn 0.249 0.749 0.249  3.79
Mn 0.751 0.500 0.000  3.79
Mn 0.500 0.500 0.251  3.79
Mn 0.500 0.000 0.751  3.79
Mn 0.500 0.251 0.500  3.79
Mn 0.500 0.751 0.000  3.79
Mn 0.000 0.751 0.500  3.79
Mn 0.251 0.500 0.500  3.79
Mn 0.749 0.249 0.249  3.79
Mn 0.249 0.249 0.749  3.79
Mn 0.751 0.000 0.500  3.79
Mn 0.000 0.500 0.751  3.79
Se 0.000 0.746 0.000  -0.08
Se 0.254 0.254 0.254  -0.08
Se 0.746 0.000 0.000  -0.08
Se 0.000 0.000 0.746  -0.08
S 0.491 0.750 0.491  0.02
S 0.509 0.259 0.000  0.02
S 0.000 0.509 0.259  0.02
S 0.259 0.000 0.509  0.02
S 0.741 0.741 0.250  0.02
S 0.741 0.250 0.741  0.02
S 0.259 0.509 0.000  0.02
S 0.509 0.000 0.259  0.02
S 0.491 0.491 0.750  0.02
S 0.000 0.259 0.509  0.02
S 0.250 0.741 0.741  0.02
S 0.750 0.491 0.491  0.02

5.
Entry from the Alexandria database: crystalline Mn3Se3S at its relaxed geometry (PBE).

Output
raw formation energy: -0.454 eV per atom
size of the total moment: 50.194 μB per cell

Lattice parameters (Å, degrees): 9.007 9.007 9.007 109.47 109.47 109.47
Each line ends with the local moment (μB).
Fractional positions:
Mn 0.997 0.498 0.248  3.90
Mn 0.502 0.003 0.252  3.90
Mn 0.250 0.002 0.498  3.90
Mn 0.998 0.750 0.002  3.90
Mn 0.998 0.248 0.497  3.90
Mn 0.752 0.002 0.003  3.90
Mn 0.748 0.497 0.498  3.90
Mn 0.752 0.750 0.248  3.90
Mn 0.503 0.252 0.002  3.90
Mn 0.250 0.248 0.252  3.90
Mn 0.748 0.252 0.750  3.90
Mn 0.502 0.498 0.750  3.90
Se 0.257 0.007 0.014  -0.03
Se 0.750 0.743 0.757  -0.03
Se 0.514 0.757 0.007  -0.03
Se 0.993 0.250 0.007  -0.03
Se 0.243 0.757 0.250  -0.03
Se 0.507 0.493 0.250  -0.03
Se 0.257 0.250 0.743  -0.03
Se 0.243 0.486 0.493  -0.03
Se 0.750 0.007 0.493  -0.03
Se 0.986 0.493 0.743  -0.03
Se 0.993 0.743 0.486  -0.03
Se 0.507 0.014 0.757  -0.03
S 0.750 0.500 0.000  0.06
S 0.500 0.250 0.500  0.06
S 0.750 0.250 0.250  0.06
S 0.000 0.000 0.250  0.06

6.
Entry from the Alexandria database: crystalline MnSeS2 at its relaxed geometry (PBE).

Output
raw formation energy: -0.222 eV per atom
size of the total moment: 2.308 μB per cell

Lattice parameters (Å, degrees): 7.715 7.715 7.715 25.22 25.22 25.22
Each line ends with the local moment (μB).
Fractional positions:
S 0.890 0.890 0.890  -0.03
S 0.110 0.110 0.110  -0.03
Mn 0.500 0.500 0.500  2.30
Se 0.000 0.000 0.000  0.00

Q: Among the records above, which one has the highest raw formation energy?
A: MnSe2S2